# PrNdO2

Crystalline PrNdO2 at its relaxed geometry (PBE-GGA, Alexandria via LeMat-Bulk).

As for the energy above the most stable polymorph in this dataset: 0.115 eV/atom. For the density, the calculation gives 7.88 Mg/m³.

The structure belongs to space group R3m (No. 160, hexagonal axes); the cell edges are 3.5532, 3.5532 and 18.3403 Å and the angles 90.00°, 90.00° and 120.00°. The asymmetric unit holds Pr at (0.0000, 0.0000, 0.0000), Nd at (0.0000, 0.0000, 0.8226), O at (0.0000, 0.0000, 0.2422) and O at (0.0000, 0.0000, 0.4155).



# PrNdO3

Crystalline PrNdO3 at its relaxed geometry (PBE-GGA, Alexandria via LeMat-Bulk).

For the density, the calculation gives 5.03 Mg/m³.

The structure belongs to space group P-6m2 (No. 187); the cell edges are 6.2711, 6.2711 and 3.2260 Å and the angles 90.00°, 90.00° and 120.00°. The asymmetric unit holds Pr at (0.0000, 0.0000, 0.0000), Nd at (0.3333, 0.6667, 0.0000) and O at (0.1677, 0.3354, 0.5000).



# Pr3NdO6

Crystalline Pr3NdO6 at its relaxed geometry (PBE-GGA, Alexandria via LeMat-Bulk).

As for the energy above the most stable polymorph in this dataset: 0.000 eV/atom. For the density, the calculation gives 6.15 Mg/m³.

The structure belongs to space group R-3 (No. 148, hexagonal axes); the cell edges are 10.1841, 10.1841 and 11.9581 Å and the angles 90.00°, 90.00° and 120.00°. The asymmetric unit holds Pr at (0.0375, 0.7723, 0.2110), Nd at (0.0000, 0.0000, 0.0000), Nd at (0.0000, 0.0000, 0.5000), O at (0.0279, 0.8083, 0.4047) and O at (0.0280, 0.8414, 0.8698).



# PrNdO2

Crystalline PrNdO2 at its relaxed geometry (PBE-GGA, Alexandria via LeMat-Bulk).

As for the energy above the most stable polymorph in this dataset: 0.013 eV/atom. For the density, the calculation gives 8.05 Mg/m³.

The structure belongs to space group I4_1/amd (No. 141, origin choice 2); the cell edges are 5.074, 5.074 and 10.161 Å and the angles 90.00°, 90.00° and 90.00°. The asymmetric unit holds Pr at (0.000, 0.250, 0.375), Nd at (0.000, 0.250, 0.875) and O at (0.000, 0.250, 0.123).



# PrNdO

Crystalline PrNdO at its relaxed geometry (PBE-GGA, Alexandria via LeMat-Bulk).

As for the energy above the most stable polymorph in this dataset: 0.000 eV/atom. For the density, the calculation gives 6.84 Mg/m³.

The structure belongs to space group P3m1 (No. 156); the cell edges are 3.7199, 3.7199 and 6.1036 Å and the angles 90.00°, 90.00° and 120.00°. The asymmetric unit holds Pr at (0.0000, 0.0000, 0.0000), Nd at (0.3333, 0.6667, 0.4536) and O at (0.6667, 0.3333, 0.2337).



# Pr3NdO

Crystalline Pr3NdO at its relaxed geometry (PBE-GGA, Alexandria via LeMat-Bulk).

For the density, the calculation gives 7.02 Mg/m³.

The structure belongs to space group Pm-3m (No. 221); the cell edges are 5.167, 5.167 and 5.167 Å and the angles 90.00°, 90.00° and 90.00°. The asymmetric unit holds Pr at (0.000, 0.000, 0.500), Nd at (0.500, 0.500, 0.500) and O at (0.000, 0.000, 0.000).



# PrNdO3

Crystalline PrNdO3 at its relaxed geometry (PBE-GGA, Alexandria via LeMat-Bulk).

For the density, the calculation gives 6.39 Mg/m³.

The structure belongs to space group R32 (No. 155, hexagonal axes); the cell edges are 5.9243, 5.9243 and 17.0932 Å and the angles 90.00°, 90.00° and 120.00°. The asymmetric unit holds Pr at (0.0000, 0.0000, 0.1445), Nd at (0.0000, 0.0000, 0.3541) and O at (0.0035, 0.2922, 0.2503).



# PrNdO

Crystalline PrNdO at its relaxed geometry (PBE-GGA, Alexandria via LeMat-Bulk).

As for the energy above the most stable polymorph in this dataset: 0.160 eV/atom. For the density, the calculation gives 5.56 Mg/m³.

The structure belongs to space group P4_2/m (No. 84); the cell edges are 9.644, 9.644 and 3.865 Å and the angles 90.00°, 90.00° and 90.00°. The asymmetric unit holds Pr at (0.062, 0.750, 0.000), Nd at (0.302, 0.432, 0.000) and O at (0.056, 0.199, 0.500).



# Pr2NdO4

Crystalline Pr2NdO4 at its relaxed geometry (PBE-GGA, Alexandria via LeMat-Bulk).

For the density, the calculation gives 7.73 Mg/m³.

The structure belongs to space group I-42d (No. 122); the cell edges are 7.685, 7.685 and 7.132 Å and the angles 90.00°, 90.00° and 90.00°. The asymmetric unit holds Pr at (0.155, 0.250, 0.125), Nd at (0.000, 0.000, 0.500) and O at (0.065, 0.178, 0.805).



# Pr3NdO6

Crystalline Pr3NdO6 at its relaxed geometry (PBE-GGA, Alexandria via LeMat-Bulk).

As for the energy above the most stable polymorph in this dataset: 0.084 eV/atom. For the density, the calculation gives 6.53 Mg/m³.

The structure belongs to space group P2_1/c (No. 14); the cell edges are 6.014, 6.253 and 10.795 Å and the angles 90.00°, 123.84° and 90.00°. The asymmetric unit holds Pr at (0.000, 0.000, 0.000), Pr at (0.267, 0.047, 0.749), Nd at (0.500, 0.000, 0.500), O at (0.099, 0.084, 0.252), O at (0.266, 0.687, 0.080) and O at (0.399, 0.190, 0.084).



# Pr2NdO

Crystalline Pr2NdO at its relaxed geometry (PBE-GGA, Alexandria via LeMat-Bulk).

For the density, the calculation gives 6.73 Mg/m³.

The structure belongs to space group R-3m (No. 166, hexagonal axes); the cell edges are 3.7100, 3.7100 and 27.4549 Å and the angles 90.00°, 90.00° and 120.00°. The asymmetric unit holds Pr at (0.0000, 0.0000, 0.2189), Nd at (0.0000, 0.0000, 0.0000) and O at (0.0000, 0.0000, 0.5000).



# Pr3NdO4

Crystalline Pr3NdO4 at its relaxed geometry (PBE-GGA, Alexandria via LeMat-Bulk).

For the density, the calculation gives 7.96 Mg/m³.

The structure belongs to space group P2/c (No. 13); the cell edges are 6.253, 7.138 and 6.249 Å and the angles 90.00°, 109.22° and 90.00°. The asymmetric unit holds Pr at (0.000, 0.125, 0.250), Pr at (0.000, 0.375, 0.750), Pr at (0.500, 0.125, 0.750), Nd at (0.500, 0.375, 0.250), O at (0.255, 0.127, 0.003) and O at (0.257, 0.377, 0.501).



Ordered formation energy from raw total energies results: -2.609, -3.128, -3.310, -2.711, -1.668, -1.072, -3.183, -1.508, -2.975, -3.226, -1.224, -2.710; unit eV per atom.
Ordered total energy results: -89.7, -40.1, -491.7, -121.2, -19.5, -29.4, -242.0, -76.1, -219.9, -162.2, -72.5, -121.2; unit eV per cell.
Ordered M_tot results: 0.0, 0.0, 0.0, 0.0, 0.0, 0.0, 0.0, 0.0, 0.0, 0.0, 0.0, 0.0; unit μB/f.u..